1.
# BaSc2Bi2

A PBEsol-optimized structure of BaSc2Bi2 (meta-GGA SCAN, Alexandria).

Summary:
For the raw total energy, the calculation gives -45.82 eV per atom. The crystal system is tetragonal. For the formation energy, the calculation gives -75.4 kJ per mole of atoms. Its space group is No. 139.

Structure (POSCAR):
```
BaSc2Bi2
1.0
-2.332 2.332 7.246
2.332 -2.332 7.246
2.332 2.332 -7.246
Ba Sc Bi
1 2 2
Cartesian
0.000 0.000 0.000
2.332 0.000 3.623
0.000 2.332 3.623
0.000 0.000 5.466
0.000 0.000 9.026
```

***

2.
# ScBeFe2

A PBEsol-optimized structure of ScBeFe2 (meta-GGA SCAN, Alexandria).

Summary:
For the raw total energy, the calculation gives -13.63 eV per atom. The crystal system is orthorhombic. For the formation energy, the calculation gives 8.3 kJ per mole of atoms. Its space group is No. 71.

Structure (POSCAR):
```
ScBeFe2
1.0
-1.608 2.012 3.830
1.608 -2.012 3.830
1.608 2.012 -3.830
Sc Be Fe
1 1 2
Cartesian
0.000 0.000 0.000
0.000 0.000 3.830
1.608 0.000 2.034
0.000 2.012 1.796
```

***

3.
# Hf5Sc

A PBEsol-optimized structure of Hf5Sc (meta-GGA SCAN, Alexandria).

Summary:
For the raw total energy, the calculation gives -54.61 eV per atom. The crystal system is hexagonal. For the formation energy, the calculation gives -0.9 kJ per mole of atoms. Its space group is No. 189.

Structure (POSCAR):
```
Hf5Sc
1.0
5.483 0.000 0.000
-2.741 4.748 0.000
0.000 0.000 4.970
Hf Sc
5 1
Cartesian
-1.811 3.138 0.000
0.000 3.166 2.485
0.930 1.611 0.000
3.623 0.000 0.000
2.741 1.583 2.485
0.000 0.000 2.485
```

***

4.
# YBr2

A PBEsol-optimized structure of YBr2 (meta-GGA SCAN, Alexandria).

Summary:
For the raw total energy, the calculation gives -23.92 eV per atom. The crystal system is monoclinic. Its space group is No. 12.

Structure (POSCAR):
```
YBr2
1.0
6.637 -1.890 0.000
6.637 1.890 0.000
-6.217 0.000 7.511
Y Br
2 4
Cartesian
-1.437 0.000 2.938
8.494 0.000 4.574
1.340 0.000 2.481
4.824 0.000 0.960
2.233 0.000 6.552
5.717 0.000 5.031
```

***

Which formula does entry 3 have?
Hf5Sc